[1]
Material: ZrHg
Method: DFT, GGA-PBE
State: optimized geometry

```
4
Lattice="4.267 0.000 0.000 -2.134 5.255 0.000 0.000 1.733 3.900" Properties=species:S:1:pos:R:3 pbc="T T T"
Hg 0.000 0.000 0.000
Hg 2.134 3.927 2.925
Zr 0.000 3.061 0.975
Zr 2.134 0.867 1.950
```

crystal system: tetragonal
E_form: -0.0653 eV per atom
SG: No. 141
DFT total energy: -0.1650 Ha/atom

---

[2]
Material: Zr3Hg
Method: DFT, GGA-PBE
State: optimized geometry

```
4
Lattice="3.228 0.000 0.000 -1.614 2.795 0.000 0.000 0.000 10.175" Properties=species:S:1:pos:R:3 pbc="T T T"
Hg 0.000 0.000 0.000
Zr 0.000 0.000 5.087
Zr 0.000 1.864 2.550
Zr 0.000 1.864 7.625
```

crystal system: hexagonal
E_form: -0.0306 eV per atom
SG: No. 187
DFT total energy: -0.2395 Ha/atom

---

[3]
Material: ZrHg
Method: DFT, GGA-PBE
State: optimized geometry

```
12
Lattice="-1.529 2.312 -3.721 2.312 -3.987 -0.535 -13.590 -7.966 0.634" Properties=species:S:1:pos:R:3 pbc="T T T"
Hg -4.064 -2.382 0.190
Hg -9.526 -5.584 0.444
Hg -7.560 -6.924 -1.196
Hg 0.564 -2.161 -1.575
Hg -13.371 -7.479 -2.046
Hg -5.246 -2.717 -2.426
Zr -1.418 -0.831 0.066
Zr -12.172 -7.135 0.568
Zr -4.915 -5.373 -1.319
Zr -2.082 -3.713 -1.451
Zr -10.724 -5.928 -2.170
Zr -7.892 -4.268 -2.302
```

crystal system: trigonal
E_form: 0.2376 eV per atom
SG: No. 166
DFT total energy: -0.1539 Ha/atom

---

[4]
Material: HoI2
Method: DFT, GGA-PBE
State: optimized geometry

```
12
Lattice="-2.488 0.838 3.112 3.562 -1.849 0.683 14.508 29.313 3.704" Properties=species:S:1:pos:R:3 pbc="T T T"
Ho 2.061 3.378 1.371
Ho 12.966 25.446 4.165
Ho 9.856 17.518 5.191
Ho 6.282 10.261 4.269
I 5.865 8.523 1.740
I 9.199 20.267 3.926
I 13.382 27.184 6.694
I 7.422 16.677 3.472
I 4.495 4.220 3.090
I 7.642 12.113 2.194
I 11.606 23.594 6.240
I 2.718 0.630 2.637
```

crystal system: orthorhombic
SG: No. 20
DFT total energy: -0.1386 Ha/atom
formation energy (no corrections): -1.21 eV/atom